## A
K2SrY: optimized geometry, PBEsol.

Properties
* total magnetization: 0.00 μB/f.u.

a = 5.3459 Å, b = 5.3459 Å, c = 6.8325 Å
α = 90.00°, β = 90.00°, γ = 90.00°
With the nearest neighbours (Å) after each atom.
Fractional coordinates of all 4 atoms:
K1 0.0000 0.5000 0.0000  4 K 3.78
K2 0.5000 0.0000 0.0000  4 K 3.78
Sr1 0.0000 0.0000 0.5000  4 Y 3.78
Y1 0.5000 0.5000 0.5000  4 Sr 3.78


## B
K2SrY: optimized geometry, PBEsol.

Properties
* total magnetization: 0.02 μB/f.u.

a = 6.8282 Å, b = 6.8282 Å, c = 4.1902 Å
α = 90.00°, β = 90.00°, γ = 90.00°
With the nearest neighbours (Å) after each atom.
Fractional coordinates of all 4 atoms:
K1 0.0000 0.5000 0.0000  4 Y 4.01, 4 Sr 4.01, 2 K 4.19
K2 0.5000 0.0000 0.0000  4 Y 4.01, 4 Sr 4.01, 2 K 4.19
Sr1 0.0000 0.0000 0.5000  8 K 4.01, 2 Sr 4.19
Y1 0.5000 0.5000 0.5000  8 K 4.01, 2 Y 4.19


## C
K2SrY: optimized geometry, PBEsol.

Properties
* total magnetization: 0.00 μB/f.u.

a = 3.6969 Å, b = 6.8937 Å, c = 7.5778 Å
α = 90.00°, β = 90.00°, γ = 90.00°
With the nearest neighbours (Å) after each atom.
Fractional coordinates of all 4 atoms:
K1 0.0000 0.0000 0.2390  4 K 3.62-3.96
K2 0.0000 0.0000 0.7610  4 K 3.62-3.96
Sr1 0.5000 0.5000 0.5000  2 Sr 3.70, 2 Y 3.79
Y1 0.5000 0.5000 0.0000  2 Y 3.70, 2 Sr 3.79


## D
K2SrY: optimized geometry, PBEsol.

Properties
* total magnetization: 0.00 μB/f.u.

a = 9.2769 Å, b = 9.2769 Å, c = 9.2769 Å
α = 90.00°, β = 90.00°, γ = 90.00°
With the nearest neighbours (Å) after each atom.
Fractional coordinates of all 16 atoms:
K1 0.0000 0.0000 0.0000  4 K 4.02, 4 Sr 4.02
K2 0.0000 0.5000 0.5000  4 K 4.02, 4 Sr 4.02
K3 0.2500 0.2500 0.2500  4 K 4.02, 4 Y 4.02
K4 0.2500 0.7500 0.7500  4 K 4.02, 4 Y 4.02
K5 0.5000 0.0000 0.5000  4 K 4.02, 4 Sr 4.02
K6 0.5000 0.5000 0.0000  4 K 4.02, 4 Sr 4.02
K7 0.7500 0.2500 0.7500  4 K 4.02, 4 Y 4.02
K8 0.7500 0.7500 0.2500  4 K 4.02, 4 Y 4.02
Sr1 0.2500 0.2500 0.7500  4 K 4.02, 4 Y 4.02
Sr2 0.2500 0.7500 0.2500  4 K 4.02, 4 Y 4.02
Sr3 0.7500 0.2500 0.2500  4 K 4.02, 4 Y 4.02
Sr4 0.7500 0.7500 0.7500  4 K 4.02, 4 Y 4.02
Y1 0.0000 0.0000 0.5000  4 Sr 4.02, 4 K 4.02
Y2 0.0000 0.5000 0.0000  4 Sr 4.02, 4 K 4.02
Y3 0.5000 0.0000 0.0000  4 Sr 4.02, 4 K 4.02
Y4 0.5000 0.5000 0.5000  4 K 4.02, 4 Sr 4.02


Top of the stability list: C, leading by 32 meV per atom.


## A
K2SrZr: optimized geometry, PBEsol.

Properties
* total magnetization: 2.08 μB/f.u.

a = 3.5433 Å, b = 3.5433 Å, c = 13.4384 Å
α = 90.00°, β = 90.00°, γ = 90.00°
With the nearest neighbours (Å) after each atom.
Fractional coordinates of all 4 atoms:
K1 0.0000 0.0000 0.2218  4 K 3.54, 4 Zr 3.89
K2 0.0000 0.0000 0.7782  4 K 3.54, 4 Zr 3.89
Sr1 0.5000 0.5000 0.5000  4 Sr 3.54
Zr1 0.5000 0.5000 0.0000  4 Zr 3.54, 8 K 3.89


## B
K2SrZr: optimized geometry, PBEsol.

Properties
* total magnetization: 2.64 μB/f.u.

a = 5.0923 Å, b = 5.0923 Å, c = 13.2592 Å
α = 90.00°, β = 90.00°, γ = 90.00°
With the nearest neighbours (Å) after each atom.
Fractional coordinates of all 8 atoms:
K1 0.0000 0.5000 0.2500  4 K 3.60
K2 0.0000 0.5000 0.7500  4 K 3.60
K3 0.5000 0.0000 0.2500  4 K 3.60
K4 0.5000 0.0000 0.7500  4 K 3.60
Sr1 0.0000 0.0000 0.0000  4 Zr 3.60
Sr2 0.5000 0.5000 0.5000  4 Zr 3.60
Zr1 0.0000 0.0000 0.5000  4 Sr 3.60
Zr2 0.5000 0.5000 0.0000  4 Sr 3.60


Top of the stability list: A, leading by 93 meV per atom.


## A
K2TaTc: optimized geometry, PBEsol.

Properties
* total magnetization: 0.00 μB/f.u.

a = 5.3145 Å, b = 12.1997 Å, c = 2.7074 Å
α = 90.00°, β = 90.00°, γ = 90.00°
With the nearest neighbours (Å) after each atom.
Fractional coordinates of all 8 atoms:
K1 0.2500 0.2500 0.0000  4 K 2.66-2.71
K2 0.2500 0.7500 0.0000  4 K 2.66-2.71
K3 0.7500 0.2500 0.0000  4 K 2.66-2.71
K4 0.7500 0.7500 0.0000  4 K 2.66-2.71
Ta1 0.0000 0.0000 0.5000  2 Tc 2.66, 2 Ta 2.71
Ta2 0.5000 0.5000 0.5000  2 Tc 2.66, 2 Ta 2.71
Tc1 0.0000 0.5000 0.5000  2 Ta 2.66, 2 Tc 2.71
Tc2 0.5000 0.0000 0.5000  2 Ta 2.66, 2 Tc 2.71


## B
K2TaTc: optimized geometry, PBEsol.

Properties
* total magnetization: 0.29 μB/f.u.

a = 3.7756 Å, b = 3.7756 Å, c = 6.1134 Å
α = 90.00°, β = 90.00°, γ = 90.00°
With the nearest neighbours (Å) after each atom.
Fractional coordinates of all 4 atoms:
K1 0.0000 0.5000 0.0000  4 K 2.67
K2 0.5000 0.0000 0.0000  4 K 2.67
Ta1 0.0000 0.0000 0.5000  4 Tc 2.67
Tc1 0.5000 0.5000 0.5000  4 Ta 2.67


Top of the stability list: B, leading by 97 meV per atom.